Record 1
The following is a DFT calculation (PBE) of a geometry-optimized CePrHo structure.

Results
The energy of formation comes out at 0.080 eV per atom.

Unit cell a=3.566 b=3.566 c=15.032 alpha=90.00 beta=90.00 gamma=90.00
Space group I4mm (No. 107)
Unique sites:
Ce: 0.000 0.000 0.000
Pr: 0.000 0.000 0.663
Ho: 0.000 0.000 0.344

---

Record 2
The following is a DFT calculation (PBE) of a geometry-optimized Th6InC3S2 structure.

Results
The uncorrected formation energy is -9.517 eV per formula unit.

Unit cell a=17.912 b=3.848 c=8.345 alpha=90.00 beta=108.37 gamma=90.00
Space group C2/m (No. 12)
Unique sites:
Th: 0.010 0.000 0.212
Th: 0.160 0.500 0.102
Th: 0.180 0.500 0.560
In: 0.000 0.500 0.500
C: 0.000 0.500 0.000
C: 0.169 0.000 0.325
S: 0.168 0.000 0.833

---

Record 3
The following is a DFT calculation (PBE) of a geometry-optimized Tb8Cd2Fe structure.

Results
The energy of formation comes out at 0.047 eV per atom.

Unit cell a=5.131 b=8.471 c=14.151 alpha=90.00 beta=90.00 gamma=90.00
Space group Immm (No. 71)
Unique sites:
Tb: 0.000 0.000 0.125
Tb: 0.000 0.225 0.350
Tb: 0.000 0.327 0.000
Cd: 0.000 0.500 0.201
Fe: 0.000 0.500 0.500

---

Record 4
The following is a DFT calculation (PBE) of a geometry-optimized CeHoTiAl structure.

Results
The energy of formation comes out at -0.027 eV per atom.

Unit cell a=7.279 b=7.279 c=7.279 alpha=90.00 beta=90.00 gamma=90.00
Space group F-43m (No. 216)
Unique sites:
Ce: 0.000 0.000 0.000
Ho: 0.000 0.000 0.500
Ti: 0.250 0.250 0.750
Al: 0.250 0.250 0.250

---

Record 5
The following is a DFT calculation (PBE) of a geometry-optimized NdHoSc2Hg4 structure.

Results
The energy of formation comes out at -0.433 eV per atom.

Unit cell a=5.1582 b=5.1582 c=25.4686 alpha=90.00 beta=90.00 gamma=120.00
Space group R-3m (No. 166, hexagonal axes)
Unique sites:
Nd: 0.0000 0.0000 0.0000
Ho: 0.0000 0.0000 0.5000
Sc: 0.0000 0.0000 0.2494
Hg: 0.0000 0.0000 0.1275
Hg: 0.0000 0.0000 0.3785

---

Record 6
The following is a DFT calculation (PBE) of a geometry-optimized PmHoScIn structure.

Results
The energy of formation comes out at -0.094 eV per atom.

Unit cell a=7.570 b=7.570 c=7.570 alpha=90.00 beta=90.00 gamma=90.00
Space group F-43m (No. 216)
Unique sites:
Pm: 0.000 0.000 0.000
Ho: 0.250 0.250 0.250
Sc: 0.250 0.250 0.750
In: 0.000 0.000 0.500